{"formula": "Na4PtPb2Au", "functional": "PBE", "state": "relaxed", "dft_energy_ev_per_atom": -2.9694, "crystal_system": "tetragonal", "lattice_angstrom": [[4.9883, 0.0000, 0.0000], [0.0000, 4.9883, 0.0000], [0.0000, 0.0000, 7.0785]], "species": ["Na", "Na", "Au", "Pb", "Na", "Pt", "Na", "Pb"], "frac_coords": [[0.0000, 0.5000, 0.7479], [0.5000, 0.0000, 0.2521], [0.0000, 0.0000, 0.0000], [0.5000, 0.0000, 0.7348], [0.0000, 0.0000, 0.5000], [0.5000, 0.5000, 0.5000], [0.5000, 0.5000, 0.0000], [0.0000, 0.5000, 0.2652]]}